<i>
# SeBr2N | the Alexandria database | PBE | relaxed
# * total moment: 2.20 Bohr magnetons per cell
data_SeBr2N
_cell_length_a 3.8134
_cell_length_b 3.8134
_cell_length_c 23.9610
_cell_angle_alpha 90.00
_cell_angle_beta 90.00
_cell_angle_gamma 120.00
_symmetry_space_group_name_H-M 'R -3 m'
_symmetry_Int_Tables_number 166
_symmetry_space_group_name_Hall '-R 3 2"'
loop_
_atom_site_label
_atom_site_fract_x
_atom_site_fract_y
_atom_site_fract_z
Se1 0.0000 0.0000 0.0000
Br1 0.0000 0.0000 0.4198
N1 0.0000 0.0000 0.5000


<ii>
# SeBr2N | the Alexandria database | PBE | relaxed
# * total moment: 7.08 Bohr magnetons per cell
data_SeBr2N
_cell_length_a 6.802
_cell_length_b 6.802
_cell_length_c 9.653
_cell_angle_alpha 90.00
_cell_angle_beta 90.00
_cell_angle_gamma 90.00
_symmetry_space_group_name_H-M 'I 41/a m d'
_symmetry_Int_Tables_number 141
loop_
_symmetry_equiv_pos_as_xyz
'x,y,z'
'-x,-y,-z'
'-y+1/4,x+3/4,z+1/4'
'y+1/4,-x+3/4,-z+1/4'
'-x+1/2,-y,z+1/2'
'x+1/2,y,-z+1/2'
'y+1/4,-x+1/4,z+3/4'
'-y+1/4,x+1/4,-z+3/4'
'x,-y,-z'
'-x,y,z'
'-y+1/4,-x+1/4,-z+3/4'
'y+1/4,x+1/4,z+3/4'
'-x+1/2,y,-z+1/2'
'x+1/2,-y,z+1/2'
'y+1/4,x+3/4,-z+1/4'
'-y+1/4,-x+3/4,z+1/4'
'x+1/2,y+1/2,z+1/2'
'-x+1/2,-y+1/2,-z+1/2'
'-y+3/4,x+1/4,z+3/4'
'y+3/4,-x+1/4,-z+3/4'
'-x,-y+1/2,z'
'x,y+1/2,-z'
'y+3/4,-x+3/4,z+1/4'
'-y+3/4,x+3/4,-z+1/4'
'x+1/2,-y+1/2,-z+1/2'
'-x+1/2,y+1/2,z+1/2'
'-y+3/4,-x+3/4,-z+1/4'
'y+3/4,x+3/4,z+1/4'
'-x,y+1/2,-z'
'x,-y+1/2,z'
'y+3/4,x+1/4,-z+3/4'
'-y+3/4,-x+1/4,z+3/4'
loop_
_atom_site_label
_atom_site_fract_x
_atom_site_fract_y
_atom_site_fract_z
Se1 0.000 0.250 0.375
Br1 0.000 0.000 0.000
N1 0.000 0.250 0.875


Least stable structure: <i>


<i>
# Se2BrN | the Alexandria database | PBE | relaxed
# * total moment: 0.00 Bohr magnetons per cell
data_Se2BrN
_cell_length_a 4.4020
_cell_length_b 4.4020
_cell_length_c 22.7415
_cell_angle_alpha 90.00
_cell_angle_beta 90.00
_cell_angle_gamma 120.00
_symmetry_space_group_name_H-M 'R -3 m'
_symmetry_Int_Tables_number 166
_symmetry_space_group_name_Hall '-R 3 2"'
loop_
_atom_site_label
_atom_site_fract_x
_atom_site_fract_y
_atom_site_fract_z
Se1 0.0000 0.0000 0.0743
Br1 0.0000 0.0000 0.5000
N1 0.0000 0.0000 0.0000


<ii>
# Se2BrN | the Alexandria database | PBE | relaxed
# * total moment: 0.00 Bohr magnetons per cell
data_Se2BrN
_cell_length_a 6.566
_cell_length_b 6.566
_cell_length_c 6.566
_cell_angle_alpha 90.00
_cell_angle_beta 90.00
_cell_angle_gamma 90.00
_symmetry_space_group_name_H-M 'F m -3 m'
_symmetry_Int_Tables_number 225
_symmetry_space_group_name_Hall '-F 4 2 3'
loop_
_atom_site_label
_atom_site_fract_x
_atom_site_fract_y
_atom_site_fract_z
Se1 0.250 0.250 0.250
Br1 0.000 0.000 0.000
N1 0.000 0.000 0.500


Least stable structure: <ii>


<i>
# Se3BrN | the Alexandria database | PBE | relaxed
# * total moment: 2.21 Bohr magnetons per cell
data_Se3BrN
_cell_length_a 5.273
_cell_length_b 5.273
_cell_length_c 5.273
_cell_angle_alpha 90.00
_cell_angle_beta 90.00
_cell_angle_gamma 90.00
_symmetry_space_group_name_H-M 'P m -3 m'
_symmetry_Int_Tables_number 221
_symmetry_space_group_name_Hall '-P 4 2 3'
loop_
_atom_site_label
_atom_site_fract_x
_atom_site_fract_y
_atom_site_fract_z
Se1 0.000 0.000 0.500
Br1 0.000 0.000 0.000
N1 0.500 0.500 0.500


<ii>
# Se3BrN | the Alexandria database | PBE | relaxed
# * total moment: 0.00 Bohr magnetons per cell
data_Se3BrN
_cell_length_a 4.548
_cell_length_b 4.548
_cell_length_c 4.548
_cell_angle_alpha 90.00
_cell_angle_beta 90.00
_cell_angle_gamma 90.00
_symmetry_space_group_name_H-M 'P m -3 m'
_symmetry_Int_Tables_number 221
_symmetry_space_group_name_Hall '-P 4 2 3'
loop_
_atom_site_label
_atom_site_fract_x
_atom_site_fract_y
_atom_site_fract_z
Se1 0.000 0.000 0.500
Br1 0.500 0.500 0.500
N1 0.000 0.000 0.000


Least stable structure: <i>


<i>
# Se2BrN2 | the Alexandria database | PBE | relaxed
# * total moment: 0.79 Bohr magnetons per cell
data_Se2BrN2
_cell_length_a 3.823
_cell_length_b 3.823
_cell_length_c 7.995
_cell_angle_alpha 90.00
_cell_angle_beta 90.00
_cell_angle_gamma 90.00
_symmetry_space_group_name_H-M 'P 4/m m m'
_symmetry_Int_Tables_number 123
_symmetry_space_group_name_Hall '-P 4 2'
loop_
_atom_site_label
_atom_site_fract_x
_atom_site_fract_y
_atom_site_fract_z
Se1 0.000 0.000 0.000
Se2 0.500 0.500 0.000
Br1 0.000 0.000 0.500
N1 0.000 0.500 0.500


<ii>
# Se2BrN2 | the Alexandria database | PBE | relaxed
# * total moment: 0.30 Bohr magnetons per cell
data_Se2BrN2
_cell_length_a 3.801
_cell_length_b 3.801
_cell_length_c 7.401
_cell_angle_alpha 90.00
_cell_angle_beta 90.00
_cell_angle_gamma 90.00
_symmetry_space_group_name_H-M 'P 4/m m m'
_symmetry_Int_Tables_number 123
_symmetry_space_group_name_Hall '-P 4 2'
loop_
_atom_site_label
_atom_site_fract_x
_atom_site_fract_y
_atom_site_fract_z
Se1 0.000 0.000 0.000
Se2 0.000 0.000 0.500
Br1 0.500 0.500 0.000
N1 0.000 0.500 0.500


Least stable structure: <i>